[1]
PBE-GGA Na2GeTe2, optimized geometry; final energy = -30.72 eV for the cell shown; distance to the lowest polymorph of the same formula = 169 meV per atom; formation energy from raw total energies = -0.364 eV/atom; crystal system = tetragonal
1.0
8.740 0.000 0.000
0.000 8.740 0.000
0.000 0.000 3.584
Te Ge Na
4 2 4
Direct
0.676 0.176 0.000
0.824 0.676 0.000
0.324 0.824 0.000
0.176 0.324 0.000
0.000 0.000 0.000
0.500 0.500 0.000
0.374 0.126 0.500
0.126 0.626 0.500
0.874 0.374 0.500
0.626 0.874 0.500

[2]
PBE-GGA Na3GeTe4, optimized geometry; final energy = -100.28 eV for the cell shown; distance to the lowest polymorph of the same formula = 0 meV per atom; formation energy from raw total energies = -0.491 eV/atom; crystal system = orthorhombic
1.0
9.300 0.000 0.000
0.000 10.713 0.000
0.000 0.000 10.963
Na Te Ge
12 16 4
Direct
0.625 0.225 0.535
0.625 0.225 0.965
0.875 0.725 0.465
0.375 0.775 0.035
0.375 0.775 0.465
0.875 0.725 0.035
0.165 0.067 0.250
0.835 0.933 0.750
0.125 0.275 0.965
0.665 0.433 0.250
0.125 0.275 0.535
0.335 0.567 0.750
0.152 0.978 0.948
0.348 0.478 0.448
0.593 0.746 0.250
0.407 0.254 0.750
0.348 0.478 0.052
0.848 0.022 0.052
0.652 0.522 0.948
0.003 0.344 0.250
0.848 0.022 0.448
0.497 0.844 0.750
0.152 0.978 0.552
0.503 0.156 0.250
0.093 0.754 0.250
0.907 0.246 0.750
0.997 0.656 0.750
0.652 0.522 0.552
0.310 0.027 0.750
0.690 0.973 0.250
0.810 0.473 0.750
0.190 0.527 0.250

[3]
PBE-GGA Na3Ge2Te4, optimized geometry; final energy = -60.19 eV for the cell shown; distance to the lowest polymorph of the same formula = 0 meV per atom; formation energy from raw total energies = -0.482 eV/atom; crystal system = monoclinic
1.0
8.830 0.195 -0.243
-0.270 7.309 -3.934
0.262 0.193 9.106
Na Ge Te
6 4 8
Direct
0.750 0.501 0.000
0.815 0.189 0.226
0.185 0.811 0.774
0.250 0.499 0.000
0.315 0.037 0.226
0.685 0.963 0.774
0.973 0.163 0.608
0.027 0.837 0.392
0.473 0.445 0.608
0.527 0.555 0.392
0.334 0.831 0.459
0.006 0.181 0.901
0.666 0.169 0.541
0.506 0.720 0.901
0.166 0.372 0.541
0.494 0.280 0.099
0.994 0.819 0.099
0.834 0.628 0.459

- Among the records above, which one has the highest formation energy from raw total energies?
  Na2GeTe2

- Look up the distance to the lowest polymorph of the same formula of the second one.
  0 meV per atom

What did the first record say?
PBE-GGA Na2GeTe2, optimized geometry; final energy = -30.72 eV for the cell shown; distance to the lowest polymorph of the same formula = 169 meV per atom; formation energy from raw total energies = -0.364 eV/atom; crystal system = tetragonal
1.0
8.740 0.000 0.000
0.000 8.740 0.000
0.000 0.000 3.584
Te Ge Na
4 2 4
Direct
0.676 0.176 0.000
0.824 0.676 0.000
0.324 0.824 0.000
0.176 0.324 0.000
0.000 0.000 0.000
0.500 0.500 0.000
0.374 0.126 0.500
0.126 0.626 0.500
0.874 0.374 0.500
0.626 0.874 0.500